# 1
The following is a DFT calculation (PBE) of crystalline Er3Mg2Cu3 at its relaxed geometry.

## Properties
N(E_F) ... 12.48 states/eV per cell
M_tot ... 0.000 μB per atom
Total energy ... -3.87 eV per atom
ρ ... 7402 kg/m3
ΔE to the lowest computed polymorph ... 0 meV/atom

```
Er3Mg2Cu3
1.0
8.238 0.000 0.000
-4.119 7.134 0.000
0.000 0.000 5.657
Er Mg Cu
6 4 6
Cartesian
-1.064 1.844 1.414
-3.055 5.291 4.243
2.129 0.000 1.414
1.064 1.844 4.243
6.109 0.000 4.243
3.055 5.291 1.414
0.000 4.756 0.000
0.000 4.756 2.829
4.119 2.378 0.000
4.119 2.378 2.829
-1.633 2.828 4.243
-2.486 4.306 1.414
3.266 0.000 4.243
1.633 2.828 1.414
4.972 0.000 1.414
2.486 4.306 4.243
```

---

# 2
The following is a DFT calculation (PBE) of crystalline Er2MgCu3 at its relaxed geometry.

## Properties
N(E_F) ... 6.26 states/eV per cell
M_tot ... 0.000 μB per atom
Total energy ... -4.06 eV per atom
ρ ... 8069 kg/m3

```
Er2MgCu3
1.0
4.752 0.000 0.000
-2.376 4.115 0.000
0.000 0.000 11.566
Er Mg Cu
4 2 6
Cartesian
0.000 0.000 0.000
0.000 0.000 5.783
0.000 2.743 2.059
2.376 1.372 9.506
0.000 2.743 7.682
2.376 1.372 3.884
0.000 0.000 2.924
0.000 0.000 8.641
0.000 2.743 4.897
0.000 2.743 10.611
2.376 1.372 0.955
2.376 1.372 6.669
```

---

# 3
The following is a DFT calculation (PBE) of crystalline Er3Mg2Cu2 at its relaxed geometry.

## Properties
N(E_F) ... 6.58 states/eV per cell
M_tot ... 0.000 μB per atom
Total energy ... -3.76 eV per atom
ρ ... 6971 kg/m3

```
Er3Mg2Cu2
1.0
2.124 -10.604 0.000
2.124 10.604 0.000
0.000 0.000 3.583
Er Mg Cu
3 2 2
Cartesian
0.000 0.000 0.000
2.124 6.891 0.000
2.124 -6.891 0.000
2.124 1.789 1.791
2.124 -1.789 1.791
2.124 4.610 1.791
2.124 -4.610 1.791
```

---

# 4
The following is a DFT calculation (PBE) of crystalline Er2Mg2Cu15 at its relaxed geometry.

## Properties
N(E_F) ... 7.28 states/eV per cell
M_tot ... 0.000 μB per atom
Total energy ... -4.03 eV per atom
ρ ... 8114 kg/m3

```
Er2Mg2Cu15
1.0
4.311 2.489 4.248
-4.311 2.489 4.248
0.000 -4.978 4.248
Er Mg Cu
2 2 15
Cartesian
0.000 0.000 1.865
0.000 0.000 10.879
0.000 0.000 5.027
0.000 0.000 7.716
-2.156 -1.245 4.248
0.000 -2.529 4.080
-2.191 1.265 4.080
-1.304 -2.258 6.372
-2.607 0.000 6.372
-2.191 -1.265 8.663
-2.156 1.244 8.496
1.304 -2.258 6.372
0.000 2.489 4.248
-1.304 2.258 6.372
2.191 1.265 4.080
2.607 0.000 6.372
1.304 2.258 6.372
2.191 -1.265 8.663
0.000 2.529 8.663
```